Density functional theory data (GGA-PBEsol) for Ag7Pt5 after structural relaxation.

## Properties
Energy of formation from the pure elements, meV/atom: -9
Density, g/cm3: 15.3
Crystal system: orthorhombic
Calculated volume, A^3/atom: 15.70
Polymorph energy (0 for the lowest one), eV/f.u.: 0.00
Density of states at the Fermi level, states/eV per cell: 3.376
Magnetic moment, μB per formula unit: 0.00

Unit cell a=4.8485 b=4.8485 c=8.4326 alpha=90.00 beta=90.00 gamma=108.12
Last column: nearest neighbours and their distance in Å.
Positions (direct):
Pt (0.5000, 0.5000, 0.5000)  6 Pt 2.77-2.81, 6 Ag 2.79-2.85
Pt (0.5000, 0.5000, 0.8285)  4 Pt 2.77-2.89, 8 Ag 2.79-2.85
Pt (0.0000, 0.5000, 0.6685)  4 Pt 2.77-2.81, 8 Ag 2.79-2.85
Pt (0.5000, 0.0000, 0.3315)  4 Pt 2.77-2.81, 8 Ag 2.79-2.85
Pt (0.5000, 0.5000, 0.1715)  4 Pt 2.77-2.89, 8 Ag 2.79-2.85
Ag (0.0000, 0.0000, 0.8326)  4 Pt 2.79-2.85, 8 Ag 2.80-2.82
Ag (0.5000, 0.0000, 0.6642)  5 Ag 2.79-2.84, 7 Pt 2.79-2.85
Ag (0.0000, 0.5000, 0.3358)  7 Pt 2.79-2.85, 5 Ag 2.79-2.84
Ag (0.0000, 0.5000, 0.9990)  5 Pt 2.79-2.83, 7 Ag 2.80-2.85
Ag (0.0000, 0.0000, 0.5000)  6 Ag 2.79-2.80, 6 Pt 2.81-2.85
Ag (0.5000, 0.0000, 0.0010)  5 Pt 2.79-2.83, 7 Ag 2.80-2.85
Ag (0.0000, 0.0000, 0.1674)  4 Pt 2.79-2.85, 8 Ag 2.80-2.82